# 1
LiHg2AsO4: optimized geometry, GGA-PBE.

Properties
- energy relative to the elements, uncorrected (eV/atom) = -0.959
- E_tot (eV/atom) = -4.334

Structure (POSCAR):
```
LiHg2AsO4
1.0
5.6391 -0.3142 -0.4823
-2.6871 4.9669 0.4818
-2.6877 -1.5583 4.7424
O Hg Li As
4 2 1 1
Direct
0.6460 0.4234 0.4750
0.0515 0.2226 0.5766
0.3541 0.8289 0.7773
0.9484 0.5251 0.1711
0.4998 0.7499 0.2499
0.0001 0.0001 0.0000
0.5000 0.2500 0.7500
0.0000 0.5000 0.5000
```

# 2
Sm2CuNi2Pt5: optimized geometry, GGA-PBE.

Properties
- E_tot (eV/atom) = -6.215
- energy relative to the elements (kcal/mol of atoms) = -15.79

Structure (POSCAR):
```
Sm2CuNi2Pt5
1.0
-2.3895 0.0417 -3.1544
3.7023 -7.9560 -2.9098
-6.3722 -4.7079 4.7647
Sm Pt Ni Cu
4 10 4 2
Direct
0.0000 0.8224 0.6776
0.0000 0.3224 0.8224
0.0000 0.6776 0.1776
0.0000 0.1776 0.3224
0.5000 0.9358 0.2040
0.5000 0.2960 0.5642
0.5000 0.5642 0.7040
0.5000 0.2040 0.0642
0.5000 0.0000 0.5000
0.5000 0.7960 0.9358
0.5000 0.4358 0.2960
0.5000 0.0642 0.7960
0.5000 0.7040 0.4358
0.5000 0.5000 0.0000
0.0000 0.8787 0.3787
0.0000 0.1213 0.6213
0.0000 0.6213 0.8787
0.0000 0.3787 0.1213
0.0000 0.5000 0.5000
0.0000 0.0000 0.0000
```

# 3
PaInGaI6: optimized geometry, GGA-PBE.

Properties
- energy relative to the elements, uncorrected (eV/atom) = -0.724
- E_tot (eV/atom) = -3.453

Structure (POSCAR):
```
PaInGaI6
1.0
8.1920 0.0000 0.0000
-4.0960 7.0945 0.0000
0.0000 0.0000 14.7316
In I Pa Ga
2 12 2 2
Direct
0.0000 0.0000 0.0000
0.0000 0.0000 0.5000
0.0218 0.6532 0.8684
0.0218 0.3687 0.6316
0.9782 0.3468 0.1316
0.3687 0.0218 0.1316
0.6313 0.6532 0.6316
0.9782 0.6313 0.3684
0.6313 0.9782 0.8684
0.3468 0.3687 0.8684
0.3687 0.3468 0.3684
0.6532 0.6313 0.1316
0.3468 0.9782 0.6316
0.6532 0.0218 0.3684
0.3333 0.6667 0.7500
0.6667 0.3333 0.2500
0.6667 0.3333 0.7500
0.3333 0.6667 0.2500
```

# 4
BaScSb: optimized geometry, GGA-PBE.

Properties
- energy relative to the elements, uncorrected (eV/atom) = -0.349
- E_tot (eV/atom) = -4.474

Structure (POSCAR):
```
BaScSb
1.0
-1.1807 -3.2065 -4.1451
1.5232 -5.1510 0.0698
-3.6724 -3.8795 0.5661
Sb Sc Ba
1 1 1
Direct
0.7500 0.7500 0.7500
0.0000 0.0000 0.0000
0.5000 0.5000 0.5000
```

# 5
Pr2YNi2: optimized geometry, GGA-PBE.

Properties
- E_tot (eV/atom) = -5.750
- energy relative to the elements (kcal/mol of atoms) = -5.37

Structure (POSCAR):
```
Pr2YNi2
1.0
-3.5845 1.5519 -0.4511
-0.9084 -2.9989 -3.0995
-2.0714 -2.8857 6.5329
Ni Y Pr
2 1 2
Direct
0.0000 0.7979 0.5959
0.0000 0.2021 0.4041
0.0000 0.0000 0.0000
0.5000 0.6472 0.2943
0.5000 0.3528 0.7057
```

# 6
Ca2ScMo: optimized geometry, GGA-PBE.

Properties
- E_tot (eV/atom) = -4.639
- energy relative to the elements (kcal/mol of atoms) = 15.04

Structure (POSCAR):
```
Ca2ScMo
1.0
-0.6396 -5.0743 -4.0942
3.4882 -0.5625 -5.5169
-0.0416 0.5853 6.5250
Ca Mo Sc
2 1 1
Direct
0.9615 0.9615 0.0000
0.5385 0.5385 0.0000
0.7500 0.2500 0.5000
0.2500 0.7500 0.5000
```

# 7
Ba3As4Pt4: optimized geometry, GGA-PBE.

Properties
- E_tot (eV/atom) = -5.283
- energy relative to the elements (kcal/mol of atoms) = -20.09

Structure (POSCAR):
```
Ba3As4Pt4
1.0
4.7752 -0.0008 0.0036
-0.0008 4.5276 0.0062
2.3758 2.2584 12.4935
As Pt Ba
4 4 3
Direct
0.5998 0.0995 0.8012
0.2481 0.2482 0.5034
0.4003 0.9006 0.1988
0.7519 0.7518 0.4966
0.7054 0.2045 0.5903
0.2946 0.7955 0.4097
0.4446 0.4446 0.1113
0.5554 0.5554 0.8887
0.1488 0.6483 0.7029
0.8512 0.3517 0.2971
0.0000 0.0000 0.0000
```

# 8
Y2BiC: optimized geometry, GGA-PBE.

Properties
- E_tot (eV/atom) = -6.802
- energy relative to the elements (kcal/mol of atoms) = -6.78

Structure (POSCAR):
```
Y2BiC
1.0
7.3315 0.0000 0.0000
0.0000 7.3315 0.0000
3.6658 3.6658 3.6607
C Y Bi
2 4 2
Direct
0.5000 0.5000 0.0000
0.2500 0.7500 0.5000
0.3750 0.4616 0.7500
0.8750 0.7884 0.7500
0.5384 0.1250 0.2500
0.2116 0.6250 0.2500
0.0000 0.0000 0.0000
0.7500 0.2500 0.5000
```

# 9
MgZn4Ag8: optimized geometry, GGA-PBE.

Properties
- E_tot (eV/atom) = -2.046
- energy relative to the elements (kcal/mol of atoms) = 5.14

Structure (POSCAR):
```
MgZn4Ag8
1.0
-3.1403 -5.8766 -2.7855
1.1716 -1.7947 -6.8965
3.9820 -5.8105 -1.5927
Ag Mg Zn
8 1 4
Direct
0.6003 0.6003 0.1991
0.0972 0.0972 0.7085
0.0972 0.0972 0.0972
0.6003 0.1991 0.6003
0.1991 0.6003 0.6003
0.7085 0.0972 0.0972
0.6003 0.6003 0.6003
0.0972 0.7085 0.0972
0.7500 0.7500 0.7500
0.9629 0.3457 0.3457
0.3457 0.3457 0.9629
0.3457 0.3457 0.3457
0.3457 0.9629 0.3457
```

# 10
InRu2Se: optimized geometry, GGA-PBE.

Properties
- energy relative to the elements, uncorrected (eV/atom) = 0.381
- E_tot (eV/atom) = -5.812

Structure (POSCAR):
```
InRu2Se
1.0
5.2563 0.0009 -0.0009
1.8080 4.9356 0.0009
-2.6903 -3.6729 2.6269
In Ru Se
1 2 1
Direct
0.2500 0.7500 0.5000
0.9754 0.9754 0.0000
0.5246 0.5246 0.0000
0.7500 0.2500 0.5000
```

# 11
TaAgPt2: optimized geometry, GGA-PBE.

Properties
- E_tot (eV/atom) = -7.088
- energy relative to the elements (kcal/mol of atoms) = -9.03

Structure (POSCAR):
```
TaAgPt2
1.0
-1.9673 4.0871 1.8244
-4.3475 0.6910 -2.1271
1.9015 -3.9177 2.2224
Ag Pt Ta
1 2 1
Direct
0.7500 0.2500 0.5000
0.5000 0.5000 0.0000
0.0000 0.0000 0.0000
0.2500 0.7500 0.5000
```

# 12
LaTeP2: optimized geometry, GGA-PBE.

Properties
- energy relative to the elements, uncorrected (eV/atom) = -0.627
- E_tot (eV/atom) = -5.349

Structure (POSCAR):
```
LaTeP2
1.0
5.8478 0.0012 0.0061
4.4428 3.8025 0.0061
-0.0051 -0.0019 4.4144
P La Te
2 1 1
Direct
0.0107 0.0107 0.8749
0.2687 0.2687 0.3751
0.7252 0.7252 0.8751
0.4954 0.4954 0.3749
```